# Ga2AsPbO6, relaxed, DFT PBE-GGA
# density: 5.64 g cm⁻³
# formation energy without anion corrections: -1429 meV per atom
# electronic total energy: -5.8447 eV per atom
# crystal system: monoclinic
data_Ga2AsPbO6
_chemical_formula_sum 'Ga4 As2 Pb2 O12'
_symmetry_space_group_name_H-M 'P 1'
_symmetry_Int_Tables_number 1
_cell_length_a 5.890
_cell_length_b 7.386
_cell_length_c 7.386
_cell_angle_alpha 88.77
_cell_angle_beta 77.00
_cell_angle_gamma 77.00
loop_
_symmetry_equiv_pos_as_xyz
'x,y,z'
loop_
_atom_site_label
_atom_site_type_symbol
_atom_site_fract_x
_atom_site_fract_y
_atom_site_fract_z
_atom_site_occupancy
Pb1 Pb 0.750 0.160 0.840 1
Pb2 Pb 0.250 0.840 0.160 1
O1 O 0.917 0.454 0.744 1
O2 O 0.571 0.856 0.810 1
O3 O 0.677 0.650 0.116 1
O4 O 0.071 0.810 0.856 1
O5 O 0.417 0.744 0.454 1
O6 O 0.583 0.256 0.546 1
O7 O 0.323 0.350 0.884 1
O8 O 0.177 0.116 0.650 1
O9 O 0.929 0.190 0.144 1
O10 O 0.823 0.884 0.350 1
O11 O 0.429 0.144 0.190 1
O12 O 0.083 0.546 0.256 1
Ga1 Ga 0.830 0.686 0.864 1
Ga2 Ga 0.670 0.136 0.314 1
Ga3 Ga 0.170 0.314 0.136 1
Ga4 Ga 0.330 0.864 0.686 1
As1 As 0.250 0.336 0.664 1
As2 As 0.750 0.664 0.336 1

***

# Na5PaTe4, relaxed, DFT PBE-GGA
# density: 4.10 g cm⁻³
# formation energy without anion corrections: -806 meV per atom
# electronic total energy: -3.6713 eV per atom
# crystal system: monoclinic
data_Na5PaTe4
_chemical_formula_sum 'Na5 Pa1 Te4'
_symmetry_space_group_name_H-M 'P 1'
_symmetry_Int_Tables_number 1
_cell_length_a 4.750
_cell_length_b 8.512
_cell_length_c 9.853
_cell_angle_alpha 115.50
_cell_angle_beta 103.95
_cell_angle_gamma 90.00
loop_
_symmetry_equiv_pos_as_xyz
'x,y,z'
loop_
_atom_site_label
_atom_site_type_symbol
_atom_site_fract_x
_atom_site_fract_y
_atom_site_fract_z
_atom_site_occupancy
Na1 Na 0.824 0.055 0.647 1
Na2 Na 0.176 0.945 0.353 1
Na3 Na 0.176 0.409 0.352 1
Na4 Na 0.824 0.591 0.648 1
Na5 Na 0.500 0.500 0.000 1
Te1 Te 0.308 0.808 0.616 1
Te2 Te 0.692 0.192 0.384 1
Te3 Te 0.000 0.252 0.999 1
Te4 Te 0.000 0.748 0.001 1
Pa1 Pa 0.500 0.000 0.000 1

***

# Co2AgRh, relaxed, DFT PBE-GGA
# ΔE_f: 0.33 eV/atom
# density: 9.99 g cm⁻³
# electronic total energy: -5.7731 eV per atom
# crystal system: tetragonal
data_Co2AgRh
_chemical_formula_sum 'Co2 Ag1 Rh1'
_symmetry_space_group_name_H-M 'P 1'
_symmetry_Int_Tables_number 1
_cell_length_a 4.673
_cell_length_b 4.673
_cell_length_c 4.673
_cell_angle_alpha 132.37
_cell_angle_beta 132.37
_cell_angle_gamma 69.64
loop_
_symmetry_equiv_pos_as_xyz
'x,y,z'
loop_
_atom_site_label
_atom_site_type_symbol
_atom_site_fract_x
_atom_site_fract_y
_atom_site_fract_z
_atom_site_occupancy
Rh1 Rh 0.500 0.500 0.000 1
Co1 Co 0.000 0.000 0.000 1
Co2 Co 0.250 0.750 0.500 1
Ag1 Ag 0.750 0.250 0.500 1

***

# Rb3Na2Bi4, relaxed, DFT PBE-GGA
# ΔE_f: -0.30 eV/atom
# density: 4.80 g cm⁻³
# electronic total energy: -2.6446 eV per atom
# crystal system: triclinic
data_Rb3Na2Bi4
_chemical_formula_sum 'Rb3 Na2 Bi4'
_symmetry_space_group_name_H-M 'P 1'
_symmetry_Int_Tables_number 1
_cell_length_a 5.656
_cell_length_b 7.300
_cell_length_c 11.664
_cell_angle_alpha 62.96
_cell_angle_beta 75.92
_cell_angle_gamma 67.18
loop_
_symmetry_equiv_pos_as_xyz
'x,y,z'
loop_
_atom_site_label
_atom_site_type_symbol
_atom_site_fract_x
_atom_site_fract_y
_atom_site_fract_z
_atom_site_occupancy
Bi1 Bi 0.273 0.385 0.070 1
Bi2 Bi 0.727 0.615 0.930 1
Bi3 Bi 0.893 0.541 0.675 1
Bi4 Bi 0.107 0.459 0.325 1
Na1 Na 0.694 0.367 0.244 1
Na2 Na 0.306 0.633 0.756 1
Rb1 Rb 0.610 0.163 0.618 1
Rb2 Rb 0.000 0.000 0.000 1
Rb3 Rb 0.390 0.837 0.382 1

***

# LaPr2Sn2, relaxed, DFT PBE-GGA
# ΔE_f: -0.53 eV/atom
# density: 6.99 g cm⁻³
# distance to the lowest polymorph of the same formula: 0 meV/atom
# electronic total energy: -5.0234 eV per atom
# crystal system: tetragonal
data_LaPr2Sn2
_chemical_formula_sum 'La2 Pr4 Sn4'
_symmetry_space_group_name_H-M 'P 1'
_symmetry_Int_Tables_number 1
_cell_length_a 3.559
_cell_length_b 9.377
_cell_length_c 9.377
_cell_angle_alpha 90.00
_cell_angle_beta 90.00
_cell_angle_gamma 90.00
loop_
_symmetry_equiv_pos_as_xyz
'x,y,z'
loop_
_atom_site_label
_atom_site_type_symbol
_atom_site_fract_x
_atom_site_fract_y
_atom_site_fract_z
_atom_site_occupancy
Pr1 Pr 0.000 0.124 0.376 1
Pr2 Pr 0.000 0.624 0.124 1
Pr3 Pr 0.000 0.876 0.624 1
Pr4 Pr 0.000 0.376 0.876 1
Sn1 Sn 0.500 0.325 0.175 1
Sn2 Sn 0.500 0.175 0.675 1
Sn3 Sn 0.500 0.825 0.325 1
Sn4 Sn 0.500 0.675 0.825 1
La1 La 0.000 0.000 0.000 1
La2 La 0.000 0.500 0.500 1

***

# Be2Cu2Mo, relaxed, DFT PBE-GGA
# ΔE_f: 0.29 eV/atom
# density: 7.01 g cm⁻³
# distance to the lowest polymorph of the same formula: 240 meV/atom
# electronic total energy: -5.0098 eV per atom
# crystal system: tetragonal
data_Be2Cu2Mo
_chemical_formula_sum 'Be2 Cu2 Mo1'
_symmetry_space_group_name_H-M 'P 1'
_symmetry_Int_Tables_number 1
_cell_length_a 3.741
_cell_length_b 3.741
_cell_length_c 4.862
_cell_angle_alpha 67.37
_cell_angle_beta 67.37
_cell_angle_gamma 90.00
loop_
_symmetry_equiv_pos_as_xyz
'x,y,z'
loop_
_atom_site_label
_atom_site_type_symbol
_atom_site_fract_x
_atom_site_fract_y
_atom_site_fract_z
_atom_site_occupancy
Be1 Be 0.750 0.250 0.500 1
Be2 Be 0.250 0.750 0.500 1
Mo1 Mo 0.000 0.000 0.000 1
Cu1 Cu 0.634 0.634 0.732 1
Cu2 Cu 0.366 0.366 0.268 1

***

# CePaAu2, relaxed, DFT PBE-GGA
# ΔE_f: -0.38 eV/atom
# density: 13.98 g cm⁻³
# distance to the lowest polymorph of the same formula: 29 meV/atom
# electronic total energy: -5.8793 eV per atom
# crystal system: tetragonal
data_CePaAu2
_chemical_formula_sum 'Ce1 Pa1 Au2'
_symmetry_space_group_name_H-M 'P 1'
_symmetry_Int_Tables_number 1
_cell_length_a 4.362
_cell_length_b 4.564
_cell_length_c 4.564
_cell_angle_alpha 90.00
_cell_angle_beta 90.00
_cell_angle_gamma 90.00
loop_
_symmetry_equiv_pos_as_xyz
'x,y,z'
loop_
_atom_site_label
_atom_site_type_symbol
_atom_site_fract_x
_atom_site_fract_y
_atom_site_fract_z
_atom_site_occupancy
Au1 Au 0.000 0.000 0.500 1
Au2 Au 0.000 0.500 0.000 1
Pa1 Pa 0.500 0.500 0.500 1
Ce1 Ce 0.500 0.000 0.000 1

***

# K3WS, relaxed, DFT PBE-GGA
# density: 2.48 g cm⁻³
# formation energy without anion corrections: 697 meV per atom
# distance to the lowest polymorph of the same formula: 0 meV/atom
# electronic total energy: -3.3774 eV per atom
# crystal system: cubic
data_K3WS
_chemical_formula_sum 'K3 W1 S1'
_symmetry_space_group_name_H-M 'P 1'
_symmetry_Int_Tables_number 1
_cell_length_a 6.069
_cell_length_b 6.069
_cell_length_c 6.069
_cell_angle_alpha 90.00
_cell_angle_beta 90.00
_cell_angle_gamma 90.00
loop_
_symmetry_equiv_pos_as_xyz
'x,y,z'
loop_
_atom_site_label
_atom_site_type_symbol
_atom_site_fract_x
_atom_site_fract_y
_atom_site_fract_z
_atom_site_occupancy
W1 W 0.500 0.500 0.500 1
S1 S 0.000 0.000 0.000 1
K1 K 0.000 0.000 0.500 1
K2 K 0.000 0.500 0.000 1
K3 K 0.500 0.000 0.000 1

***

# BaLiIn2, relaxed, DFT PBE-GGA
# ΔE_f: -0.26 eV/atom
# density: 5.08 g cm⁻³
# electronic total energy: -2.5915 eV per atom
# crystal system: monoclinic
data_BaLiIn2
_chemical_formula_sum 'Ba1 Li1 In2'
_symmetry_space_group_name_H-M 'P 1'
_symmetry_Int_Tables_number 1
_cell_length_a 4.972
_cell_length_b 3.606
_cell_length_c 6.823
_cell_angle_alpha 88.02
_cell_angle_beta 90.00
_cell_angle_gamma 90.00
loop_
_symmetry_equiv_pos_as_xyz
'x,y,z'
loop_
_atom_site_label
_atom_site_type_symbol
_atom_site_fract_x
_atom_site_fract_y
_atom_site_fract_z
_atom_site_occupancy
Li1 Li 0.000 0.600 0.374 1
Ba1 Ba 0.500 0.646 0.789 1
In1 In 0.500 0.128 0.301 1
In2 In 0.000 0.126 0.036 1

***

# Tb2Sm4HoEr2, relaxed, DFT PBE-GGA
# ΔE_f: 0.02 eV/atom
# density: 8.10 g cm⁻³
# electronic total energy: -4.6314 eV per atom
# crystal system: monoclinic
data_Tb2Sm4HoEr2
_chemical_formula_sum 'Tb2 Sm4 Ho1 Er2'
_symmetry_space_group_name_H-M 'P 1'
_symmetry_Int_Tables_number 1
_cell_length_a 3.570
_cell_length_b 9.457
_cell_length_c 8.769
_cell_angle_alpha 89.95
_cell_angle_beta 90.00
_cell_angle_gamma 100.88
loop_
_symmetry_equiv_pos_as_xyz
'x,y,z'
loop_
_atom_site_label
_atom_site_type_symbol
_atom_site_fract_x
_atom_site_fract_y
_atom_site_fract_z
_atom_site_occupancy
Sm1 Sm 0.222 0.445 0.330 1
Sm2 Sm 0.445 0.890 0.669 1
Sm3 Sm 0.555 0.110 0.331 1
Sm4 Sm 0.778 0.555 0.670 1
Er1 Er 0.667 0.333 0.000 1
Er2 Er 0.333 0.667 0.000 1
Ho1 Ho 0.000 0.000 0.000 1
Tb1 Tb 0.889 0.777 0.330 1
Tb2 Tb 0.111 0.223 0.670 1

***

# Be2TlSe, relaxed, DFT PBE-GGA
# density: 6.45 g cm⁻³
# formation energy without anion corrections: 972 meV per atom
# distance to the lowest polymorph of the same formula: 932 meV/atom
# electronic total energy: -2.3536 eV per atom
# crystal system: cubic
data_Be2TlSe
_chemical_formula_sum 'Be2 Tl1 Se1'
_symmetry_space_group_name_H-M 'P 1'
_symmetry_Int_Tables_number 1
_cell_length_a 4.787
_cell_length_b 4.787
_cell_length_c 4.787
_cell_angle_alpha 60.00
_cell_angle_beta 60.00
_cell_angle_gamma 60.00
loop_
_symmetry_equiv_pos_as_xyz
'x,y,z'
loop_
_atom_site_label
_atom_site_type_symbol
_atom_site_fract_x
_atom_site_fract_y
_atom_site_fract_z
_atom_site_occupancy
Se1 Se 0.500 0.500 0.500 1
Be1 Be 0.000 0.000 0.000 1
Be2 Be 0.250 0.250 0.250 1
Tl1 Tl 0.750 0.750 0.750 1

***

# LiCoS2, relaxed, DFT PBE-GGA
# density: 2.99 g cm⁻³
# formation energy without anion corrections: -588 meV per atom
# distance to the lowest polymorph of the same formula: 156 meV/atom
# electronic total energy: -4.9065 eV per atom
# crystal system: tetragonal
data_LiCoS2
_chemical_formula_sum 'Li2 Co2 S4'
_symmetry_space_group_name_H-M 'P 1'
_symmetry_Int_Tables_number 1
_cell_length_a 5.571
_cell_length_b 5.571
_cell_length_c 6.095
_cell_angle_alpha 62.80
_cell_angle_beta 62.80
_cell_angle_gamma 90.00
loop_
_symmetry_equiv_pos_as_xyz
'x,y,z'
loop_
_atom_site_label
_atom_site_type_symbol
_atom_site_fract_x
_atom_site_fract_y
_atom_site_fract_z
_atom_site_occupancy
Co1 Co 0.000 0.000 0.000 1
Co2 Co 0.750 0.250 0.500 1
S1 S 0.375 0.322 0.750 1
S2 S 0.678 0.125 0.250 1
S3 S 0.875 0.928 0.750 1
S4 S 0.072 0.625 0.250 1
Li1 Li 0.250 0.750 0.500 1
Li2 Li 0.500 0.500 0.000 1